Compound: Pm9Nd2Mg
Source: Alexandria
Functional: PBE-GGA
Structure: optimized geometry

Results
formation energy: 1 kJ per mole of atoms
D(E_F): 18.49 states/eV per cell

Lattice parameters (Å, degrees): 5.113 5.113 15.436 90.00 90.00 90.00
Space group P4/mmm (No. 123)
Inequivalent atoms, fractional coordinates:
Pm  0.000  0.000  0.000 [1 per cell]
Pm  0.000  0.000  0.329 [2 per cell]
Pm  0.000  0.500  0.163 [4 per cell]
Pm  0.000  0.500  0.500 [2 per cell]
Nd  0.500  0.500  0.330 [2 per cell]
Mg  0.500  0.500  0.000 [1 per cell]